# 1
NpSnBi (PBE, relaxed); symmetry = Fddd, No. 70; polymorph energy (0 for the lowest one) = 409 meV per atom; calculated volume = 32.75 A^3/atom; energy = -19.67 eV/f.u.; E_form = 1.15 eV/f.u.; DOS(E_F) = 3.461 states/eV per atom
1.0
7.238 -1.380 0.000
-1.503 7.214 0.000
-2.868 -2.917 7.838
Sn Bi Np
4 4 4
Direct
0.125 0.375 0.250 Sn
0.125 0.875 0.250 Sn
0.125 0.875 0.750 Sn
0.625 0.875 0.750 Sn
0.319 0.319 0.000 Bi
0.681 0.681 0.000 Bi
0.931 0.431 0.500 Bi
0.569 0.069 0.500 Bi
0.302 0.302 0.603 Np
0.698 0.698 0.397 Np
0.552 0.052 0.103 Np
0.948 0.448 0.897 Np

---

# 2
CuAg2Ir (PBE, relaxed); symmetry = P4/mmm, No. 123; polymorph energy (0 for the lowest one) = 199 meV per atom; calculated volume = 15.76 A^3/atom; energy = -17.07 eV/f.u.; E_form = 1.59 eV/f.u.; DOS(E_F) = 0.608 states/eV per atom
1.0
-1.970 3.353 -2.705
-4.101 -2.370 0.049
-0.782 1.401 2.307
Cu Ag Ir
1 2 1
Direct
0.500 0.000 0.500 Cu
0.500 0.500 0.000 Ag
0.000 0.000 0.000 Ag
0.000 0.500 0.500 Ir

---

# 3
MgIn2Ag (PBE, relaxed); symmetry = I-4m2, No. 119; calculated volume = 22.15 A^3/atom; energy = -10.12 eV/f.u.; E_form = -0.20 eV/f.u.; DOS(E_F) = 0.343 states/eV per atom
1.0
-4.963 2.158 -0.980
-1.707 -1.286 -5.068
1.987 -3.032 4.137
Ag In Mg
1 2 1
Direct
0.750 0.250 0.500 Ag
0.250 0.750 0.500 In
0.000 0.000 0.000 In
0.500 0.500 0.000 Mg

---

# 4
BeZnTePO (PBE, relaxed); symmetry = P1, No. 1; polymorph energy (0 for the lowest one) = 85 meV per atom; calculated volume = 21.25 A^3/atom; energy = -21.87 eV/f.u.; DOS(E_F) = 0.178 states/eV per atom
1.0
3.289 0.013 -0.002
-1.595 5.357 0.001
-0.005 -0.289 6.025
O P Te Be Zn
1 1 1 1 1
Direct
0.211 0.497 0.577 O
0.767 0.617 0.123 P
0.986 0.078 0.060 Te
0.208 0.495 0.329 Be
0.715 0.504 0.747 Zn

---

Question: Among the records above, which one has the lowest calculated volume?
Answer: CuAg2Ir

---

Question: Which of these has the lowest calculated volume?
Answer: CuAg2Ir

---

Question: The lowest DOS(E_F) belongs to which entry?
Answer: BeZnTePO